Below is crystalline Nd3Tm2Sn2 at its relaxed geometry, with properties calculated at the PBE level.

Values from the calculation:
As for the crystal system: monoclinic. The formation energy is -196.5 kJ/mol of formula units.

Lattice parameters (Å, degrees): 17.407 3.502 7.866 90.00 115.09 90.00
Space group C2/m (No. 12)
Inequivalent atoms, fractional coordinates:
Nd  0.000  0.000  0.000
Nd  0.221  0.000  0.211
Tm  0.088  0.000  0.699
Sn  0.102  0.500  0.383

Below is crystalline NbCr2Rh2 at its relaxed geometry, with properties calculated at the PBE level.

Values from the calculation:
As for the crystal system: tetragonal. For the energy above the most stable polymorph in this dataset, the calculation gives 0.040 eV per atom. The formation energy is 2.4 kJ/mol of formula units.

Lattice parameters (Å, degrees): 7.311 7.311 2.676 90.00 90.00 90.00
Space group P4/mbm (No. 127)
Inequivalent atoms, fractional coordinates:
Nb  0.000  0.000  0.000
Cr  0.169  0.331  0.500
Rh  0.128  0.628  0.000

Below is crystalline Mg2GaPd6 at its relaxed geometry, with properties calculated at the PBE level.

Values from the calculation:
As for the crystal system: monoclinic. The formation energy is -294.3 kJ/mol of formula units.

Lattice parameters (Å, degrees): 13.073 5.986 4.253 90.00 108.19 90.00
Space group C2/m (No. 12)
Inequivalent atoms, fractional coordinates:
Mg  0.166  0.000  0.158
Ga  0.000  0.500  0.500
Pd  0.000  0.263  0.000
Pd  0.163  0.251  0.656

Computed uncorrected energy (eV per atom) in order:
-4.76; -8.80; -4.49